Record 1
# In2H2I

Crystalline In2H2I at its relaxed geometry (PBEsol, the Alexandria database).

Unit cell a=4.161 b=4.161 c=6.146 alpha=109.78 beta=109.78 gamma=90.00
Atoms (fractional coordinates):
In  0.665  0.665  0.330
In  0.335  0.335  0.670
H  0.750  0.250  0.500
I  0.000  0.000  0.000
H  0.250  0.750  0.500

Energy, eV per atom: -2.784
DOS at the Fermi energy, states/eV/cell: 0.78
Total magnetic moment, μB per cell: 0.0

***

Record 2
# Y2MnC4

Crystalline Y2MnC4 at its relaxed geometry (PBEsol, the Alexandria database).

Unit cell a=4.982 b=6.536 c=6.536 alpha=70.00 beta=67.60 gamma=67.60
Atoms (fractional coordinates):
C  0.129  0.530  0.213
Y  0.645  0.512  0.199
Y  0.145  0.199  0.512
C  0.079  0.751  0.090
C  0.579  0.090  0.751
C  0.421  0.910  0.249
Mn  0.750  0.000  0.000
C  0.371  0.787  0.470
Y  0.355  0.488  0.801
Y  0.855  0.801  0.488
Mn  0.250  0.000  0.000
C  0.871  0.470  0.787
C  0.921  0.249  0.910
C  0.629  0.213  0.530

Calculated formation energy, eV per atom: -0.310
DOS at the Fermi energy, states/eV/cell: 5.94
Total magnetic moment, μB per cell: 1.4

***

Record 3
# HfAl2F

Crystalline HfAl2F at its relaxed geometry (PBEsol, the Alexandria database).

Unit cell a=5.661 b=5.661 c=5.661 alpha=101.06 beta=113.83 gamma=113.83
Atoms (fractional coordinates):
Al  0.597  0.375  0.472
Al  0.403  0.875  0.778
F  0.500  0.250  0.750
Hf  0.500  0.750  0.250
Hf  0.000  0.000  0.000
Al  0.097  0.222  0.625
Al  0.903  0.528  0.125
F  0.000  0.500  0.500

DOS at the Fermi energy, states/eV/cell: 3.54
Total magnetic moment, μB per cell: 0.0
Formation energy (no corrections), eV per atom: -0.50

***

Record 4
# V3Mo

Crystalline V3Mo at its relaxed geometry (PBEsol, the Alexandria database).

Unit cell a=4.239 b=4.239 c=4.239 alpha=60.00 beta=60.00 gamma=60.00
Atoms (fractional coordinates):
V  0.250  0.250  0.250
Mo  0.000  0.000  0.000
V  0.500  0.500  0.500
V  0.750  0.750  0.750

Calculated formation energy, eV per atom: -0.064
DOS at the Fermi energy, states/eV/cell: 6.02
Total magnetic moment, μB per cell: 0.0

***

Record 5
# Fe3Au4

Crystalline Fe3Au4 at its relaxed geometry (PBEsol, the Alexandria database).

Unit cell a=2.869 b=2.869 c=12.623 alpha=96.53 beta=96.53 gamma=90.00
Atoms (fractional coordinates):
Au  0.570  0.570  0.140
Au  0.846  0.846  0.691
Fe  0.275  0.275  0.550
Fe  0.000  0.000  0.000
Au  0.154  0.154  0.309
Au  0.430  0.430  0.860
Fe  0.725  0.725  0.450

Calculated formation energy, eV per atom: 0.122
DOS at the Fermi energy, states/eV/cell: 5.03
Total magnetic moment, μB per cell: 8.1

***

Record 6
# Na3SbH

Crystalline Na3SbH at its relaxed geometry (PBEsol, the Alexandria database).

Unit cell a=4.722 b=4.722 c=4.722 alpha=90.00 beta=90.00 gamma=90.00
Atoms (fractional coordinates):
Sb  0.500  0.500  0.500
Na  0.000  0.000  0.500
Na  0.000  0.500  0.000
Na  0.500  0.000  0.000
H  0.000  0.000  0.000

Energy, eV per atom: -2.641
DOS at the Fermi energy, states/eV/cell: 6.30
Total magnetic moment, μB per cell: 0.0